# 1
Ce3TmZn8: optimized geometry, GGA-PBE. Values from VASP.

DFT total energy ... -35.84 eV per cell
Energy above the lowest structure with this stoichiometry ... 0.00 eV per formula unit
Space-group type ... R3m, No. 160
ΔH_f (0 K) ... -0.28 eV/atom

Geometry as Quantum ESPRESSO input:
```
&SYSTEM
  ibrav = 0, nat = 12, ntyp = 3
/
ATOMIC_SPECIES
Ce 140.12 Ce.upf
Tm 168.93 Tm.upf
Zn 65.41 Zn.upf
CELL_PARAMETERS angstrom
2.744 1.584 8.922
-2.744 1.584 8.922
0.000 -3.169 8.922
ATOMIC_POSITIONS crystal
Ce 0.000 0.000 0.000
Ce 0.121 0.121 0.121
Ce 0.627 0.627 0.627
Tm 0.501 0.501 0.501
Zn 0.062 0.062 0.559
Zn 0.062 0.559 0.062
Zn 0.067 0.561 0.561
Zn 0.312 0.312 0.312
Zn 0.559 0.062 0.062
Zn 0.561 0.067 0.561
Zn 0.561 0.561 0.067
Zn 0.812 0.812 0.812
```

---

# 2
Ce2TmZn8: optimized geometry, GGA-PBE. Values from VASP.

DFT total energy ... -29.07 eV per cell
Space-group type ... Immm, No. 71
ΔH_f (0 K) ... -0.23 eV/atom

Geometry as Quantum ESPRESSO input:
```
&SYSTEM
  ibrav = 0, nat = 11, ntyp = 3
/
ATOMIC_SPECIES
Ce 140.12 Ce.upf
Tm 168.93 Tm.upf
Zn 65.41 Zn.upf
CELL_PARAMETERS angstrom
-2.406 3.070 7.291
2.406 -3.070 7.291
2.406 3.070 -7.291
ATOMIC_POSITIONS crystal
Ce 0.193 0.193 0.000
Ce 0.807 0.807 0.000
Tm 0.500 0.000 0.500
Zn 0.000 0.251 0.251
Zn 0.000 0.749 0.749
Zn 0.168 0.385 0.783
Zn 0.305 0.805 0.500
Zn 0.399 0.615 0.783
Zn 0.601 0.385 0.217
Zn 0.695 0.195 0.500
Zn 0.832 0.615 0.217
```

---

# 3
CeTmZn4: optimized geometry, GGA-PBE. Values from VASP.

DFT total energy ... -17.38 eV per cell
Energy above the lowest structure with this stoichiometry ... 0.00 eV per formula unit
Space-group type ... Immm, No. 71
ΔH_f (0 K) ... -0.31 eV/atom

Geometry as Quantum ESPRESSO input:
```
&SYSTEM
  ibrav = 0, nat = 6, ntyp = 3
/
ATOMIC_SPECIES
Ce 140.12 Ce.upf
Tm 168.93 Tm.upf
Zn 65.41 Zn.upf
CELL_PARAMETERS angstrom
-2.272 3.457 3.866
2.272 -3.457 3.866
2.272 3.457 -3.866
ATOMIC_POSITIONS crystal
Ce 0.000 0.000 0.000
Tm 0.500 0.000 0.500
Zn 0.071 0.333 0.738
Zn 0.405 0.667 0.738
Zn 0.595 0.333 0.262
Zn 0.929 0.667 0.262
```

---

# 4
CeTm2Zn3: optimized geometry, GGA-PBE. Values from VASP.

DFT total energy ... -20.44 eV per cell
Space-group type ... P4/mmm, No. 123
ΔH_f (0 K) ... -0.29 eV/atom

Geometry as Quantum ESPRESSO input:
```
&SYSTEM
  ibrav = 0, nat = 6, ntyp = 3
/
ATOMIC_SPECIES
Ce 140.12 Ce.upf
Tm 168.93 Tm.upf
Zn 65.41 Zn.upf
CELL_PARAMETERS angstrom
3.513 0.000 0.000
0.000 3.513 0.000
0.000 0.000 10.885
ATOMIC_POSITIONS crystal
Ce 0.000 0.000 0.000
Tm 0.000 0.000 0.339
Tm 0.000 0.000 0.661
Zn 0.500 0.500 0.181
Zn 0.500 0.500 0.500
Zn 0.500 0.500 0.819
```

---

# 5
CeTmZn2: optimized geometry, GGA-PBE. Values from VASP.

DFT total energy ... -13.20 eV per cell
Space-group type ... R-3m, No. 166
ΔH_f (0 K) ... -0.06 eV/atom

Geometry as Quantum ESPRESSO input:
```
&SYSTEM
  ibrav = 0, nat = 4, ntyp = 3
/
ATOMIC_SPECIES
Ce 140.12 Ce.upf
Tm 168.93 Tm.upf
Zn 65.41 Zn.upf
CELL_PARAMETERS angstrom
1.712 0.989 9.399
-1.712 0.989 9.399
0.000 -1.977 9.399
ATOMIC_POSITIONS crystal
Ce 0.000 0.000 0.000
Tm 0.500 0.500 0.500
Zn 0.246 0.246 0.246
Zn 0.754 0.754 0.754
```

---

# 6
CeTm5Zn4: optimized geometry, GGA-PBE. Values from VASP.

DFT total energy ... -36.00 eV per cell
Space-group type ... P4/mmm, No. 123
ΔH_f (0 K) ... -0.26 eV/atom

Geometry as Quantum ESPRESSO input:
```
&SYSTEM
  ibrav = 0, nat = 10, ntyp = 3
/
ATOMIC_SPECIES
Ce 140.12 Ce.upf
Tm 168.93 Tm.upf
Zn 65.41 Zn.upf
CELL_PARAMETERS angstrom
3.507 0.000 0.000
0.000 3.507 0.000
0.000 0.000 19.059
ATOMIC_POSITIONS crystal
Ce 0.000 0.000 0.000
Tm 0.500 0.500 0.130
Tm 0.500 0.500 0.315
Tm 0.500 0.500 0.500
Tm 0.500 0.500 0.685
Tm 0.500 0.500 0.870
Zn 0.000 0.000 0.222
Zn 0.000 0.000 0.406
Zn 0.000 0.000 0.594
Zn 0.000 0.000 0.778
```

---

# 7
CeTmZn2: optimized geometry, GGA-PBE. Values from VASP.

DFT total energy ... -13.99 eV per cell
Space-group type ... P4/mmm, No. 123
ΔH_f (0 K) ... -0.26 eV/atom

Geometry as Quantum ESPRESSO input:
```
&SYSTEM
  ibrav = 0, nat = 4, ntyp = 3
/
ATOMIC_SPECIES
Ce 140.12 Ce.upf
Tm 168.93 Tm.upf
Zn 65.41 Zn.upf
CELL_PARAMETERS angstrom
3.490 0.000 0.000
0.000 3.490 0.000
0.000 0.000 7.447
ATOMIC_POSITIONS crystal
Ce 0.000 0.000 0.000
Tm 0.000 0.000 0.500
Zn 0.500 0.500 0.270
Zn 0.500 0.500 0.730
```

---

# 8
CeTm2Zn9: optimized geometry, GGA-PBE. Values from VASP.

DFT total energy ... -29.95 eV per cell
Space-group type ... R-3m, No. 166
ΔH_f (0 K) ... -0.30 eV/atom

Geometry as Quantum ESPRESSO input:
```
&SYSTEM
  ibrav = 0, nat = 12, ntyp = 3
/
ATOMIC_SPECIES
Ce 140.12 Ce.upf
Tm 168.93 Tm.upf
Zn 65.41 Zn.upf
CELL_PARAMETERS angstrom
2.710 1.565 8.583
-2.710 1.565 8.583
0.000 -3.130 8.583
ATOMIC_POSITIONS crystal
Ce 0.000 0.000 0.000
Tm 0.141 0.141 0.141
Tm 0.859 0.859 0.859
Zn 0.077 0.587 0.587
Zn 0.335 0.335 0.335
Zn 0.413 0.413 0.923
Zn 0.413 0.923 0.413
Zn 0.500 0.500 0.500
Zn 0.587 0.077 0.587
Zn 0.587 0.587 0.077
Zn 0.665 0.665 0.665
Zn 0.923 0.413 0.413
```

---

# 9
CeTmZn4: optimized geometry, GGA-PBE. Values from VASP.

DFT total energy ... -17.29 eV per cell
Energy above the lowest structure with this stoichiometry ... 0.09 eV per formula unit
Space-group type ... F-43m, No. 216
ΔH_f (0 K) ... -0.30 eV/atom

Geometry as Quantum ESPRESSO input:
```
&SYSTEM
  ibrav = 0, nat = 6, ntyp = 3
/
ATOMIC_SPECIES
Ce 140.12 Ce.upf
Tm 168.93 Tm.upf
Zn 65.41 Zn.upf
CELL_PARAMETERS angstrom
0.000 3.859 3.859
3.859 0.000 3.859
3.859 3.859 0.000
ATOMIC_POSITIONS crystal
Ce 0.000 0.000 0.000
Tm 0.750 0.750 0.750
Zn 0.375 0.375 0.375
Zn 0.375 0.375 0.874
Zn 0.375 0.874 0.375
Zn 0.874 0.375 0.375
```

---

# 10
Ce3TmZn4: optimized geometry, GGA-PBE. Values from VASP.

DFT total energy ... -29.08 eV per cell
Space-group type ... P4/mmm, No. 123
ΔH_f (0 K) ... -0.21 eV/atom

Geometry as Quantum ESPRESSO input:
```
&SYSTEM
  ibrav = 0, nat = 8, ntyp = 3
/
ATOMIC_SPECIES
Ce 140.12 Ce.upf
Tm 168.93 Tm.upf
Zn 65.41 Zn.upf
CELL_PARAMETERS angstrom
5.090 0.000 0.000
0.000 5.090 0.000
0.000 0.000 7.192
ATOMIC_POSITIONS crystal
Ce 0.000 0.000 0.000
Ce 0.000 0.000 0.500
Ce 0.500 0.500 0.000
Tm 0.500 0.500 0.500
Zn 0.000 0.500 0.261
Zn 0.000 0.500 0.739
Zn 0.500 0.000 0.261
Zn 0.500 0.000 0.739
```

---

# 11
Ce3TmZn8: optimized geometry, GGA-PBE. Values from VASP.

DFT total energy ... -35.74 eV per cell
Energy above the lowest structure with this stoichiometry ... 0.10 eV per formula unit
Space-group type ... P3m1, No. 156
ΔH_f (0 K) ... -0.27 eV/atom

Geometry as Quantum ESPRESSO input:
```
&SYSTEM
  ibrav = 0, nat = 12, ntyp = 3
/
ATOMIC_SPECIES
Ce 140.12 Ce.upf
Tm 168.93 Tm.upf
Zn 65.41 Zn.upf
CELL_PARAMETERS angstrom
5.597 0.000 0.000
-2.799 4.847 0.000
0.000 0.000 8.560
ATOMIC_POSITIONS crystal
Ce 0.000 0.000 0.000
Ce 0.000 0.000 0.340
Ce 0.333 0.667 0.866
Tm 0.333 0.667 0.486
Zn 0.001 0.500 0.176
Zn 0.326 0.163 0.669
Zn 0.500 0.500 0.176
Zn 0.500 0.999 0.176
Zn 0.667 0.333 0.423
Zn 0.667 0.333 0.920
Zn 0.837 0.163 0.669
Zn 0.837 0.674 0.669
```

---

Number 1: volume 233 Å³ per cell, DOS at the Fermi energy 16.899 states/eV/f.u.. Number 2: volume 215 Å³ per cell, DOS at the Fermi energy 11.217 states/eV/f.u.. Number 3: volume 121 Å³ per cell, DOS at the Fermi energy 6.920 states/eV/f.u.. Number 4: volume 134 Å³ per cell, DOS at the Fermi energy 9.620 states/eV/f.u.. Number 5: volume 95 Å³ per cell, DOS at the Fermi energy 6.172 states/eV/f.u.. Number 6: volume 234 Å³ per cell, DOS at the Fermi energy 12.862 states/eV/f.u.. Number 7: volume 91 Å³ per cell, DOS at the Fermi energy 7.419 states/eV/f.u.. Number 8: volume 218 Å³ per cell, DOS at the Fermi energy 10.998 states/eV/f.u.. Number 9: volume 115 Å³ per cell, DOS at the Fermi energy 4.898 states/eV/f.u.. Number 10: volume 186 Å³ per cell, DOS at the Fermi energy 19.301 states/eV/f.u.. Number 11: volume 232 Å³ per cell, DOS at the Fermi energy 16.651 states/eV/f.u..